Record 1
First-principles (PBE) data for a relaxed Na2HgCl2 crystal, as listed in Alexandria via LeMat-Bulk.

The value obtained for the mass density is 4.1 g/cm3. Its energy above the most stable polymorph in this dataset is 86.5 meV per atom. The calculation puts the formation energy (no corrections) at -1.2200 eV/atom. As for the total energy: -2.547 eV/atom. The size of the total moment is 0.000 Bohr magnetons per cell.

abc: 8.440 8.440 3.579
angles: 90.00 90.00 90.00
Fractional coordinates of all 10 atoms:
Na 0.351 0.149 0.500
Cl 0.644 0.144 0.000
Na 0.851 0.351 0.500
Hg 0.500 0.500 0.000
Hg 0.000 0.000 0.000
Na 0.649 0.851 0.500
Cl 0.356 0.856 0.000
Cl 0.856 0.644 0.000
Na 0.149 0.649 0.500
Cl 0.144 0.356 0.000

Record 2
First-principles (PBE) data for a relaxed Er2MgGe crystal, as listed in Alexandria via LeMat-Bulk.

The value obtained for the mass density is 6.7 g/cm3. As for the total energy: -4.099 eV/atom. As for the energy of formation: -0.26 eV per atom. The size of the total moment is 0.000 Bohr magnetons per cell.

abc: 4.463 4.463 6.737
angles: 70.66 70.66 60.00
Fractional coordinates of all 4 atoms:
Ge 0.000 0.000 0.000
Er 0.735 0.735 0.796
Mg 0.500 0.500 0.500
Er 0.265 0.265 0.204

Record 3
First-principles (PBE) data for a relaxed Ni5Sn3Br12 crystal, as listed in Alexandria via LeMat-Bulk.

The value obtained for the mass density is 5.1 g/cm3. The calculation puts the formation energy (no corrections) at -0.3111 eV/atom. As for the total energy: -3.361 eV/atom. The size of the total moment is 24.026 Bohr magnetons per cell.

abc: 13.988 13.988 13.988
angles: 109.47 109.47 109.47
Each line ends with the local moment (μB).
Fractional coordinates of all 80 atoms:
Ni 0.000 0.500 0.500  1.08
Ni 0.500 0.000 0.500  1.08
Br 0.384 0.977 0.797  0.07
Ni 0.875 0.250 0.625  0.93
Sn 0.375 0.625 0.250  -0.01
Br 0.593 0.616 0.414  0.07
Br 0.023 0.616 0.703  0.07
Ni 0.000 0.000 0.500  1.08
Br 0.093 0.179 0.477  0.07
Ni 0.750 0.125 0.875  0.93
Br 0.477 0.797 0.884  0.07
Sn 0.750 0.875 0.625  -0.01
Br 0.593 0.977 0.679  0.07
Sn 0.875 0.125 0.250  -0.01
Sn 0.250 0.125 0.375  -0.01
Ni 0.500 0.000 0.000  1.08
Br 0.086 0.179 0.203  0.07
Br 0.203 0.523 0.616  0.07
Br 0.297 0.414 0.821  0.07
Br 0.086 0.907 0.384  0.07
Ni 0.000 0.500 0.000  1.08
Br 0.179 0.093 0.977  0.07
Ni 0.750 0.625 0.375  0.93
Br 0.914 0.093 0.616  0.07
Br 0.477 0.679 0.093  0.07
Br 0.679 0.477 0.593  0.07
Ni 0.000 0.000 0.000  1.08
Sn 0.625 0.250 0.375  -0.01
Br 0.093 0.914 0.116  0.07
Sn 0.750 0.375 0.125  -0.01
Br 0.203 0.679 0.086  0.07
Br 0.586 0.703 0.679  0.07
Br 0.914 0.821 0.797  0.07
Br 0.414 0.297 0.321  0.07
Br 0.321 0.523 0.407  0.07
Sn 0.125 0.250 0.875  -0.01
Br 0.821 0.914 0.297  0.07
Ni 0.250 0.375 0.625  0.93
Br 0.616 0.593 0.914  0.07
Ni 0.250 0.875 0.125  0.93
Br 0.679 0.203 0.586  0.07
Br 0.116 0.703 0.523  0.07
Br 0.384 0.407 0.086  0.07
Br 0.703 0.586 0.179  0.07
Br 0.414 0.116 0.593  0.07
Br 0.179 0.086 0.703  0.07
Br 0.297 0.884 0.977  0.07
Br 0.407 0.023 0.321  0.07
Br 0.023 0.407 0.821  0.07
Br 0.884 0.586 0.907  0.07
Br 0.703 0.116 0.023  0.07
Sn 0.625 0.375 0.750  -0.01
Ni 0.375 0.125 0.750  0.93
Ni 0.875 0.625 0.750  0.93
Br 0.523 0.203 0.116  0.07
Sn 0.875 0.750 0.125  -0.01
Br 0.821 0.907 0.023  0.07
Br 0.797 0.477 0.384  0.07
Br 0.523 0.321 0.907  0.07
Ni 0.125 0.375 0.250  0.93
Ni 0.625 0.750 0.875  0.93
Ni 0.500 0.500 0.000  1.08
Sn 0.250 0.625 0.875  -0.01
Sn 0.375 0.750 0.625  -0.01
Ni 0.375 0.250 0.125  0.93
Br 0.321 0.797 0.414  0.07
Ni 0.625 0.875 0.250  0.93
Ni 0.500 0.500 0.500  1.08
Br 0.977 0.384 0.297  0.07
Br 0.116 0.414 0.093  0.07
Br 0.884 0.297 0.477  0.07
Sn 0.125 0.875 0.750  -0.01
Br 0.907 0.086 0.884  0.07
Br 0.616 0.023 0.203  0.07
Br 0.586 0.884 0.407  0.07
Br 0.407 0.384 0.586  0.07
Ni 0.125 0.750 0.375  0.93
Br 0.977 0.593 0.179  0.07
Br 0.797 0.321 0.914  0.07
Br 0.907 0.821 0.523  0.07

Record 4
First-principles (PBE) data for a relaxed KAl crystal, as listed in Alexandria via LeMat-Bulk.

The value obtained for the mass density is 1.7 g/cm3. Its energy above the most stable polymorph in this dataset is 437.1 meV per atom. As for the total energy: -1.866 eV/atom. As for the energy of formation: 0.55 eV per atom. The size of the total moment is 0.000 Bohr magnetons per cell.

abc: 3.479 3.479 6.019
angles: 90.00 90.00 120.00
Fractional coordinates of all 2 atoms:
K 0.667 0.333 0.500
Al 0.000 0.000 0.000

N(E_F) values (in states/eV per cell) by entry order: 0.0, 2.3, 75.1, 1.0.